No. 1
Entry from Alexandria: a geometry-optimized FeSe2Br structure (PBE-GGA).

Values from the calculation:
Distance to the lowest polymorph of the same formula ... 0.051 eV/atom
Volume ... 112 Å³/cell
Theoretical density ... 4.353 g/cm³
DFT total energy ... -4.37 eV per atom

Cell lengths 6.2757, 6.2757, 5.6079 Å; angles 76.64, 76.64, 31.50 degrees
Each line ends with the local moment (μB).
Element x y z (fractional)
Se (0.2234, 0.2234, 0.1863)  0.07
Se (0.1083, 0.1083, 0.8985)  0.07
Br (0.4007, 0.4007, 0.5726)  0.14
Fe (0.7676, 0.7676, 0.8426)  3.18



No. 2
Entry from Alexandria: a geometry-optimized FeSe2Br structure (PBE-GGA).

Values from the calculation:
Distance to the lowest polymorph of the same formula ... 0.539 eV/atom
Volume ... 87 Å³/cell
Theoretical density ... 5.635 g/cm³
DFT total energy ... -3.88 eV per atom

Cell lengths 4.8151, 4.8372, 4.8156 Å; angles 70.70, 70.35, 109.29 degrees
Each line ends with the local moment (μB).
Element x y z (fractional)
Fe (0.5000, 0.5000, 0.0000)  3.21
Se (0.5000, 0.0000, 0.5000)  0.00
Br (0.0000, 0.5000, 0.5000)  0.03
Se (0.0000, 0.0000, 0.0000)  0.00



No. 3
Entry from Alexandria: a geometry-optimized FeSeBr structure (PBE-GGA).

Values from the calculation:
Volume ... 69 Å³/cell
Theoretical density ... 5.145 g/cm³
DFT total energy ... -4.44 eV per atom

Cell lengths 7.4063, 7.4063, 7.4063 Å; angles 155.59, 155.59, 34.79 degrees
Each line ends with the local moment (μB).
Element x y z (fractional)
Fe (0.3259, 0.3259, 0.0000)  3.06
Br (0.9508, 0.9508, 0.0000)  0.18
Se (0.7233, 0.7233, 0.0000)  -0.07



No. 4
Entry from Alexandria: a geometry-optimized FeSe2Br structure (PBE-GGA).

Values from the calculation:
Distance to the lowest polymorph of the same formula ... 0.535 eV/atom
Volume ... 95 Å³/cell
Theoretical density ... 5.127 g/cm³
DFT total energy ... -3.88 eV per atom

Cell lengths 7.2826, 7.2826, 7.2826 Å; angles 150.21, 150.21, 42.64 degrees
Each line ends with the local moment (μB).
Element x y z (fractional)
Fe (0.7500, 0.2500, 0.5000)  3.15
Se (0.5000, 0.5000, 0.0000)  0.04
Br (0.2500, 0.7500, 0.5000)  0.07
Se (0.0000, 0.0000, 0.0000)  0.04



No. 5
Entry from Alexandria: a geometry-optimized FeSe2Br structure (PBE-GGA).

Values from the calculation:
Distance to the lowest polymorph of the same formula ... 0.874 eV/atom
Volume ... 80 Å³/cell
Theoretical density ... 6.086 g/cm³
DFT total energy ... -3.54 eV per atom

Cell lengths 5.1232, 5.1232, 3.0526 Å; angles 90.00, 90.00, 90.00 degrees
Each line ends with the local moment (μB).
Element x y z (fractional)
Fe (0.0000, 0.5000, 0.5000)  3.24
Se (0.0000, 0.0000, 0.0000)  -0.03
Br (0.5000, 0.0000, 0.5000)  -0.05
Se (0.5000, 0.5000, 0.0000)  -0.03



No. 6
Entry from Alexandria: a geometry-optimized FeSeBr structure (PBE-GGA).

Values from the calculation:
Volume ... 307 Å³/cell
Theoretical density ... 4.641 g/cm³
DFT total energy ... -4.73 eV per atom

Cell lengths 3.4553, 9.4305, 9.4305 Å; angles 90.00, 90.00, 90.00 degrees
Each line ends with the local moment (μB).
Element x y z (fractional)
Fe (0.0000, 0.3224, 0.2805)  1.28
Se (0.0000, 0.5647, 0.2777)  -0.08
Br (0.5000, 0.7260, 0.8962)  0.03
Br (0.5000, 0.2740, 0.1038)  0.03
Br (0.0000, 0.1038, 0.7260)  0.03
Fe (0.5000, 0.2805, 0.6776)  1.28
Fe (0.5000, 0.7195, 0.3224)  1.28
Fe (0.0000, 0.6776, 0.7195)  1.28
Se (0.5000, 0.7223, 0.5647)  -0.08
Se (0.5000, 0.2777, 0.4353)  -0.08
Se (0.0000, 0.4353, 0.7223)  -0.08
Br (0.0000, 0.8962, 0.2740)  0.03



no.,formation energy without anion corrections (meV per atom),magnetic moment (μB per formula unit)
1,-91.1,3.8
2,396.8,3.4
3,101.0,3.3
4,393.5,3.5
5,732.4,3.2
6,-190.0,1.3